1.
# PBE BaBeCu, relaxed
data_BaBeCu
_cell_length_a 6.3377
_cell_length_b 6.3377
_cell_length_c 6.3377
_cell_angle_alpha 150.36
_cell_angle_beta 150.36
_cell_angle_gamma 42.42
_symmetry_space_group_name_H-M 'P 1'
_symmetry_Int_Tables_number 1
loop_
_symmetry_equiv_pos_as_xyz
'x,y,z'
loop_
_atom_site_label
_atom_site_type_symbol
_atom_site_fract_x
_atom_site_fract_y
_atom_site_fract_z
_atom_site_occupancy
Ba1 Ba 0.0000 0.0000 0.0000 1
Be1 Be 0.2767 0.2767 0.0000 1
Cu1 Cu 0.7219 0.7219 0.0000 1
# **Final energy**: -2.857 eV per atom
# **Density of states at the Fermi level**: 1.58 states/eV/f.u.
# **Excess energy over the best structure of this formula in the dataset**: 252.1 meV/atom



2.
# PBE Ba2Be2Cu, relaxed
data_Ba2Be2Cu
_cell_length_a 7.4135
_cell_length_b 7.4135
_cell_length_c 4.8067
_cell_angle_alpha 90.00
_cell_angle_beta 90.00
_cell_angle_gamma 90.00
_symmetry_space_group_name_H-M 'P 1'
_symmetry_Int_Tables_number 1
loop_
_symmetry_equiv_pos_as_xyz
'x,y,z'
loop_
_atom_site_label
_atom_site_type_symbol
_atom_site_fract_x
_atom_site_fract_y
_atom_site_fract_z
_atom_site_occupancy
Ba1 Ba 0.1968 0.3032 0.0000 1
Ba2 Ba 0.3032 0.8032 0.0000 1
Ba3 Ba 0.6968 0.1968 0.0000 1
Ba4 Ba 0.8032 0.6968 0.0000 1
Be1 Be 0.1008 0.6008 0.5000 1
Be2 Be 0.3992 0.1008 0.5000 1
Be3 Be 0.6008 0.8992 0.5000 1
Be4 Be 0.8992 0.3992 0.5000 1
Cu1 Cu 0.0000 0.0000 0.5000 1
Cu2 Cu 0.5000 0.5000 0.5000 1
# **Final energy**: -2.520 eV per atom
# **Density of states at the Fermi level**: 5.17 states/eV/f.u.
# **Excess energy over the best structure of this formula in the dataset**: 64.7 meV/atom



3.
# PBE Ba2BeCu, relaxed
data_Ba2BeCu
_cell_length_a 6.4606
_cell_length_b 6.4606
_cell_length_c 6.4606
_cell_angle_alpha 137.35
_cell_angle_beta 137.35
_cell_angle_gamma 61.91
_symmetry_space_group_name_H-M 'P 1'
_symmetry_Int_Tables_number 1
loop_
_symmetry_equiv_pos_as_xyz
'x,y,z'
loop_
_atom_site_label
_atom_site_type_symbol
_atom_site_fract_x
_atom_site_fract_y
_atom_site_fract_z
_atom_site_occupancy
Ba1 Ba 0.0000 0.0000 0.0000 1
Ba2 Ba 0.7500 0.2500 0.5000 1
Be1 Be 0.2500 0.7500 0.5000 1
Cu1 Cu 0.5000 0.5000 0.0000 1
# **Final energy**: -2.376 eV per atom
# **Density of states at the Fermi level**: 4.15 states/eV/f.u.



4.
# PBE Ba2BeCu, relaxed
data_Ba2BeCu
_cell_length_a 8.4930
_cell_length_b 8.4930
_cell_length_c 8.4930
_cell_angle_alpha 151.35
_cell_angle_beta 149.91
_cell_angle_gamma 42.03
_symmetry_space_group_name_H-M 'P 1'
_symmetry_Int_Tables_number 1
loop_
_symmetry_equiv_pos_as_xyz
'x,y,z'
loop_
_atom_site_label
_atom_site_type_symbol
_atom_site_fract_x
_atom_site_fract_y
_atom_site_fract_z
_atom_site_occupancy
Ba1 Ba 0.0000 0.0000 0.0000 1
Ba2 Ba 0.7512 0.2512 0.5000 1
Be1 Be 0.3490 0.8490 0.5000 1
Cu1 Cu 0.4013 0.4013 0.0000 1
# **Final energy**: -2.687 eV per atom
# **Density of states at the Fermi level**: 4.01 states/eV/f.u.



5.
# PBE Ba2BeCu, relaxed
data_Ba2BeCu
_cell_length_a 8.4629
_cell_length_b 8.4629
_cell_length_c 8.4629
_cell_angle_alpha 31.82
_cell_angle_beta 31.82
_cell_angle_gamma 31.82
_symmetry_space_group_name_H-M 'P 1'
_symmetry_Int_Tables_number 1
loop_
_symmetry_equiv_pos_as_xyz
'x,y,z'
loop_
_atom_site_label
_atom_site_type_symbol
_atom_site_fract_x
_atom_site_fract_y
_atom_site_fract_z
_atom_site_occupancy
Ba1 Ba 0.2482 0.2482 0.2482 1
Ba2 Ba 0.7518 0.7518 0.7518 1
Be1 Be 0.0000 0.0000 0.0000 1
Cu1 Cu 0.5000 0.5000 0.5000 1
# **Final energy**: -2.440 eV per atom
# **Density of states at the Fermi level**: 3.21 states/eV/f.u.



6.
# PBE BaBeCu, relaxed
data_BaBeCu
_cell_length_a 4.0799
_cell_length_b 4.0799
_cell_length_c 4.9957
_cell_angle_alpha 90.00
_cell_angle_beta 90.00
_cell_angle_gamma 120.00
_symmetry_space_group_name_H-M 'P 1'
_symmetry_Int_Tables_number 1
loop_
_symmetry_equiv_pos_as_xyz
'x,y,z'
loop_
_atom_site_label
_atom_site_type_symbol
_atom_site_fract_x
_atom_site_fract_y
_atom_site_fract_z
_atom_site_occupancy
Ba1 Ba 0.0000 0.0000 0.0000 1
Be1 Be 0.6667 0.3333 0.5000 1
Cu1 Cu 0.3333 0.6667 0.5000 1
# **Final energy**: -2.969 eV per atom
# **Density of states at the Fermi level**: 2.59 states/eV/f.u.
# **Excess energy over the best structure of this formula in the dataset**: 140.9 meV/atom



7.
# PBE BaBe2Cu2, relaxed
data_BaBe2Cu2
_cell_length_a 6.2867
_cell_length_b 6.2867
_cell_length_c 6.2867
_cell_angle_alpha 140.84
_cell_angle_beta 140.84
_cell_angle_gamma 56.57
_symmetry_space_group_name_H-M 'P 1'
_symmetry_Int_Tables_number 1
loop_
_symmetry_equiv_pos_as_xyz
'x,y,z'
loop_
_atom_site_label
_atom_site_type_symbol
_atom_site_fract_x
_atom_site_fract_y
_atom_site_fract_z
_atom_site_occupancy
Ba1 Ba 0.0000 0.0000 0.0000 1
Be1 Be 0.2500 0.7500 0.5000 1
Be2 Be 0.7500 0.2500 0.5000 1
Cu1 Cu 0.3066 0.3066 0.0000 1
Cu2 Cu 0.6934 0.6934 0.0000 1
# **Final energy**: -3.315 eV per atom
# **Density of states at the Fermi level**: 2.27 states/eV/f.u.



8.
# PBE Ba2BeCu, relaxed
data_Ba2BeCu
_cell_length_a 3.9455
_cell_length_b 3.9780
_cell_length_c 7.9395
_cell_angle_alpha 90.00
_cell_angle_beta 90.00
_cell_angle_gamma 90.00
_symmetry_space_group_name_H-M 'P 1'
_symmetry_Int_Tables_number 1
loop_
_symmetry_equiv_pos_as_xyz
'x,y,z'
loop_
_atom_site_label
_atom_site_type_symbol
_atom_site_fract_x
_atom_site_fract_y
_atom_site_fract_z
_atom_site_occupancy
Ba1 Ba 0.0000 0.0000 0.2465 1
Ba2 Ba 0.0000 0.0000 0.7535 1
Be1 Be 0.5000 0.5000 0.0000 1
Cu1 Cu 0.5000 0.5000 0.5000 1
# **Final energy**: -2.564 eV per atom
# **Density of states at the Fermi level**: 4.39 states/eV/f.u.